Ca2BeTcRh: optimized geometry, PBE.

The density of states at the Fermi level comes out at 3.85 states/eV per cell. The calculated formation energy comes out at 662.1 meV per atom. The volume is 21.6 Å³ per atom. For the calculated total energy, the calculation gives -22.137 eV/cell.

The space group is P4/mmm (No. 123) and the conventional cell measures 5.1000, 5.1000 and 4.1553 Å, with angles of 90.00, 90.00 and 90.00 degrees. The inequivalent atoms are Ca at (0.0000, 0.5000, 0.0000), Be at (0.0000, 0.0000, 0.0000), Tc at (0.0000, 0.0000, 0.5000) and Rh at (0.5000, 0.5000, 0.5000).